# NaHf4Cu3O12

A geometry-optimized NaHf4Cu3O12 structure (PBE-GGA, Alexandria).

Results
The value obtained for the density is 8.00 Mg/m³. The calculation puts the volume at 11.623 Å³ per atom. Its total energy is -160.59 eV for the cell shown. Its space group is No. 204. As for the size of the total moment: 2.02 μB per formula unit. The value obtained for the energy relative to the elements, uncorrected is -2.384 eV/atom.

```
20
Lattice="-3.8734 3.8734 3.8734 3.8734 -3.8734 3.8734 3.8734 3.8734 -3.8734" Properties=species:S:1:pos:R:3 pbc="T T T"
Na 0.0000 0.0000 0.0000
Hf 1.9367 1.9367 -1.9367
Hf 1.9367 -1.9367 1.9367
Hf -1.9367 1.9367 1.9367
Hf 1.9367 1.9367 1.9367
Cu 3.8734 0.0000 0.0000
Cu 0.0000 3.8734 0.0000
Cu 0.0000 0.0000 3.8734
O 3.8734 2.5560 -1.4403
O 2.4332 0.0000 1.3175
O 5.3137 0.0000 1.3175
O 1.3175 2.4332 0.0000
O 2.5560 -1.4403 3.8734
O 0.0000 1.3175 2.4332
O 3.8734 2.5560 1.4403
O 1.3175 5.3137 0.0000
O 2.5560 1.4403 3.8734
O -1.4403 3.8734 2.5560
O 1.4403 3.8734 2.5560
O 0.0000 1.3175 5.3137
```